[1]
# NdSiRu2C

An optimized crystal structure of NdSiRu2C (GGA-PBEsol, the Alexandria database).

Output
- Spin magnetization: 0.0 μB per cell
- Space group: No. 63
- Raw formation energy: -590 meV per atom

abc: 3.9003 5.8342 7.1206
angles: 90.00 90.00 109.53
Sites, in units of the cell vectors:
Nd  0.4494  0.8988  0.2500
Nd  0.5506  0.1012  0.7500
Si  0.7285  0.4571  0.2500
Si  0.2715  0.5429  0.7500
Ru  0.1653  0.3306  0.4407
Ru  0.8347  0.6694  0.5593
Ru  0.8347  0.6694  0.9407
Ru  0.1653  0.3306  0.0593
C  0.0000  0.0000  0.5000
C  0.0000  0.0000  0.0000



[2]
# NiC3

An optimized crystal structure of NiC3 (GGA-PBEsol, the Alexandria database).

Output
- Spin magnetization: 0.0 μB per cell
- Space group: No. 71
- Relative energy among the computed polymorphs: 646 meV per atom
- Energy relative to the elements: 1888 meV/atom

abc: 2.4964 3.6063 4.2795
angles: 114.92 106.96 90.00
Sites, in units of the cell vectors:
Ni  0.0000  0.5000  0.0000
C  0.1312  0.1312  0.2623
C  0.8688  0.8688  0.7377
C  0.5000  0.0000  0.0000



What is the formula in the second record? NiC3